No. 1
A relaxed GaCu2Pd8 crystal, computed with PBE.

## Properties
- Energy relative to the elements: 0.10 eV/atom
- Crystal system: monoclinic
- Final energy: -4.701 eV per atom
- Space-group type: C2/m (12)
- Energy above the lowest structure with this stoichiometry: 329 kJ/mol of formula units

Lattice parameters (Å, degrees): 4.6242 6.5099 6.5099 84.28 77.15 77.15
Element x y z (fractional)
Pd  0.8029  0.1538  0.6745
Pd  0.2991  0.4208  0.4208
Pd  0.8908  0.2654  0.2654
Pd  0.8029  0.6745  0.1538
Pd  0.7009  0.5792  0.5792
Pd  0.1971  0.8462  0.3255
Pd  0.1092  0.7346  0.7346
Pd  0.1971  0.3255  0.8462
Cu  0.4696  0.1385  0.1385
Cu  0.5304  0.8615  0.8615
Ga  0.0000  0.0000  0.0000

=====

No. 2
A relaxed Pm3Nd4Pu crystal, computed with PBE.

## Properties
- Energy relative to the elements: 0.15 eV/atom
- Crystal system: orthorhombic
- Final energy: -5.811 eV per atom
- Space-group type: Immm (71)

Lattice parameters (Å, degrees): 3.5202 11.7900 9.0033 130.87 101.27 90.00
Site moments in Bohr magnetons follow the coordinates.
Element x y z (fractional)
Nd  0.3691  0.1177  0.7383  0.03
Nd  0.3691  0.6203  0.7382  0.03
Nd  0.6309  0.3797  0.2618  0.03
Nd  0.6309  0.8823  0.2617  0.03
Pm  0.0000  0.5000  0.0000  -0.05
Pm  0.7684  0.7684  0.5367  0.07
Pm  0.2316  0.2316  0.4633  0.07
Pu  0.5000  0.0000  0.0000  5.69

=====

No. 3
A relaxed Ce2GaCu2Rh5 crystal, computed with PBE.

## Properties
- Energy relative to the elements: -0.54 eV/atom
- Crystal system: tetragonal
- Final energy: -6.521 eV per atom
- Space-group type: P4/mbm (127)

Lattice parameters (Å, degrees): 3.7955 9.3373 9.3373 90.00 90.00 90.00
Element x y z (fractional)
Rh  0.5000  0.5000  0.0000
Rh  0.5000  0.7000  0.4254
Rh  0.5000  0.0746  0.8000
Rh  0.5000  0.0000  0.5000
Rh  0.5000  0.4254  0.3000
Rh  0.5000  0.9254  0.2000
Rh  0.5000  0.8000  0.9254
Rh  0.5000  0.3000  0.5746
Rh  0.5000  0.5746  0.7000
Rh  0.5000  0.2000  0.0746
Ce  0.0000  0.8259  0.6741
Ce  0.0000  0.1741  0.3259
Ce  0.0000  0.3259  0.8259
Ce  0.0000  0.6741  0.1741
Ga  0.0000  0.0000  0.0000
Ga  0.0000  0.5000  0.5000
Cu  0.0000  0.1242  0.6242
Cu  0.0000  0.8758  0.3758
Cu  0.0000  0.3758  0.1242
Cu  0.0000  0.6242  0.8758

=====

No. 4
A relaxed NaLu2Tl crystal, computed with PBE.

## Properties
- Energy relative to the elements: 0.01 eV/atom
- Crystal system: tetragonal
- Final energy: -3.168 eV per atom
- Space-group type: P4/mmm (123)
- Energy above the lowest structure with this stoichiometry: 0 kJ/mol of formula units

Lattice parameters (Å, degrees): 4.2915 4.9915 4.9915 90.00 90.00 90.00
Element x y z (fractional)
Tl  0.5000  0.0000  0.0000
Lu  0.0000  0.0000  0.5000
Lu  0.0000  0.5000  0.0000
Na  0.5000  0.5000  0.5000

=====

No. 5
A relaxed Ac3Tb2Pr6 crystal, computed with PBE.

## Properties
- Energy relative to the elements: 0.04 eV/atom
- Crystal system: trigonal
- Final energy: -4.534 eV per atom
- Space-group type: R-3m (166)

Lattice parameters (Å, degrees): 3.7741 3.7741 33.7125 86.79 86.79 60.00
Element x y z (fractional)
Ac  0.0000  0.0000  0.0000
Ac  0.7291  0.7291  0.8126
Ac  0.2709  0.2709  0.1874
Tb  0.5439  0.5439  0.3682
Tb  0.4561  0.4561  0.6318
Pr  0.9061  0.9061  0.2817
Pr  0.0939  0.0939  0.7183
Pr  0.8183  0.8183  0.5451
Pr  0.3646  0.3646  0.9063
Pr  0.6354  0.6354  0.0937
Pr  0.1817  0.1817  0.4549

=====

No. 6
A relaxed ZnSbNF2 crystal, computed with PBE.

## Properties
- Crystal system: tetragonal
- Final energy: -4.085 eV per atom
- Space-group type: P4/mmm (123)
- Formation energy without anion corrections: -592 meV per atom
- Energy above the lowest structure with this stoichiometry: 0 kJ/mol of formula units

Lattice parameters (Å, degrees): 3.8613 3.8613 4.5195 90.00 90.00 90.00
Element x y z (fractional)
Sb  0.5000  0.5000  0.5000
F  0.5000  0.0000  0.0000
F  0.0000  0.5000  0.0000
Zn  0.0000  0.0000  0.0000
N  0.0000  0.0000  0.5000

=====

No. 7
A relaxed PmTm2HfN4 crystal, computed with PBE.

## Properties
- Crystal system: monoclinic
- Final energy: -8.822 eV per atom
- Space-group type: P2/m (10)
- Formation energy without anion corrections: -1703 meV per atom

Lattice parameters (Å, degrees): 3.3901 5.9135 5.8626 109.23 90.00 90.00
Element x y z (fractional)
N  0.5000  0.2310  0.2408
N  0.5000  0.7690  0.7592
N  0.0000  0.7702  0.2503
N  0.0000  0.2298  0.7497
Tm  0.5000  0.0000  0.5000
Tm  0.0000  0.5000  0.5000
Pm  0.5000  0.5000  0.0000
Hf  0.0000  0.0000  0.0000

=====

No. 8
A relaxed CsTlInSn2 crystal, computed with PBE.

## Properties
- Energy relative to the elements: -0.11 eV/atom
- Crystal system: orthorhombic
- Final energy: -2.907 eV per atom
- Space-group type: Imm2 (44)

Lattice parameters (Å, degrees): 4.8894 5.2946 7.8338 109.75 108.18 90.00
Element x y z (fractional)
In  0.1848  0.6848  0.3697
Sn  0.6946  0.1946  0.3893
Sn  0.0666  0.0666  0.1332
Tl  0.8268  0.8268  0.6535
Cs  0.4393  0.4393  0.8786

=====

No. 9
A relaxed LiH2I crystal, computed with PBE.

## Properties
- Crystal system: tetragonal
- Final energy: -2.090 eV per atom
- Space-group type: I-42d (122)
- Energy above the lowest structure with this stoichiometry: 408 kJ/mol of formula units

Lattice parameters (Å, degrees): 4.9002 4.9002 6.1379 66.47 66.47 90.00
Element x y z (fractional)
Li  0.2500  0.7500  0.5000
Li  0.5000  0.5000  0.0000
I  0.7500  0.2500  0.5000
I  0.0000  0.0000  0.0000
H  0.8750  0.7849  0.7500
H  0.2151  0.6250  0.2500
H  0.5349  0.1250  0.2500
H  0.3750  0.4651  0.7500

=====

No. 10
A relaxed Sm2Er3Zn3 crystal, computed with PBE.

## Properties
- Energy relative to the elements: -0.24 eV/atom
- Crystal system: orthorhombic
- Final energy: -3.606 eV per atom
- Space-group type: Immm (71)

Lattice parameters (Å, degrees): 3.6198 5.1194 11.2336 103.17 99.27 90.00
Element x y z (fractional)
Zn  0.1118  0.1118  0.2235
Zn  0.8882  0.8882  0.7765
Zn  0.0000  0.5000  0.0000
Er  0.5000  0.0000  0.0000
Er  0.6155  0.6155  0.2310
Er  0.3845  0.3845  0.7690
Sm  0.7275  0.2275  0.4550
Sm  0.2725  0.7725  0.5450

=====

No. 11
A relaxed Cs3K2Hg9 crystal, computed with PBE.

## Properties
- Energy relative to the elements: -0.24 eV/atom
- Crystal system: orthorhombic
- Final energy: -0.778 eV per atom
- Space-group type: Immm (71)

Lattice parameters (Å, degrees): 5.4192 11.8915 10.7065 123.73 104.66 90.00
Element x y z (fractional)
Hg  0.6713  0.0296  0.3426
Hg  0.8550  0.1318  0.7100
Hg  0.1450  0.4218  0.2900
Hg  0.1450  0.8682  0.2900
Hg  0.8550  0.5782  0.7100
Hg  0.6713  0.3130  0.3426
Hg  0.3287  0.9704  0.6574
Hg  0.0000  0.5000  0.0000
Hg  0.3287  0.6870  0.6574
Cs  0.2944  0.2944  0.5887
Cs  0.0000  0.0000  0.0000
Cs  0.7056  0.7056  0.4113
K  0.5000  0.3013  0.0000
K  0.5000  0.6987  0.0000

=====

No. 12
A relaxed TbNpRh2 crystal, computed with PBE.

## Properties
- Energy relative to the elements: -0.41 eV/atom
- Crystal system: trigonal
- Final energy: -8.477 eV per atom
- Space-group type: R-3m (166)
- Energy above the lowest structure with this stoichiometry: 34 kJ/mol of formula units

Lattice parameters (Å, degrees): 4.0128 4.0128 6.7604 72.74 72.74 60.00
Site moments in Bohr magnetons follow the coordinates.
Element x y z (fractional)
Rh  0.7409  0.7409  0.7773  -0.18
Rh  0.2591  0.2591  0.2227  -0.18
Tb  0.5000  0.5000  0.5000  0.01
Np  0.0000  0.0000  0.0000  3.33

=====

No. 13
A relaxed UVIr2 crystal, computed with PBE.

## Properties
- Energy relative to the elements: -0.45 eV/atom
- Crystal system: tetragonal
- Final energy: -9.979 eV per atom
- Space-group type: P4/mmm (123)
- Energy above the lowest structure with this stoichiometry: 0 kJ/mol of formula units

Lattice parameters (Å, degrees): 3.9949 4.0570 4.0570 90.00 90.00 90.00
Site moments in Bohr magnetons follow the coordinates.
Element x y z (fractional)
Ir  0.0000  0.5000  0.0000  -0.02
Ir  0.0000  0.0000  0.5000  -0.02
U  0.5000  0.0000  0.0000  0.28
V  0.5000  0.5000  0.5000  0.84

=====

No. 14
A relaxed Tb3ErTh4S8 crystal, computed with PBE.

## Properties
- Crystal system: trigonal
- Final energy: -6.989 eV per atom
- Space-group type: R-3m (166)
- Formation energy without anion corrections: -1917 meV per atom

Lattice parameters (Å, degrees): 7.8175 8.0937 7.8175 118.88 120.00 90.00
Element x y z (fractional)
Th  0.0000  0.0000  0.0000
Th  0.5000  0.0000  0.5000
Th  0.0000  0.0000  0.5000
Th  0.5000  0.0000  0.0000
S  0.2548  0.2643  0.5095
S  0.2527  0.2661  0.0094
S  0.7473  0.7339  0.9906
S  0.7567  0.2661  0.5134
S  0.2433  0.7339  0.4866
S  0.7567  0.2661  0.0094
S  0.2433  0.7339  0.9906
S  0.7452  0.7357  0.4905
Tb  0.5000  0.5000  0.0000
Tb  0.0000  0.5000  0.5000
Tb  0.5000  0.5000  0.5000
Er  0.0000  0.5000  0.0000

=====

No. 15
A relaxed Sc11Cu9Pd4 crystal, computed with PBE.

## Properties
- Energy relative to the elements: -0.43 eV/atom
- Crystal system: orthorhombic
- Final energy: -5.729 eV per atom
- Space-group type: Cmmm (65)

Lattice parameters (Å, degrees): 3.2910 11.6707 11.6707 110.39 90.00 90.00
Element x y z (fractional)
Cu  0.5000  0.3761  0.8440
Cu  0.5000  0.2025  0.0337
Cu  0.5000  0.8440  0.3761
Cu  0.5000  0.9663  0.7975
Cu  0.5000  0.5000  0.5000
Cu  0.5000  0.0337  0.2025
Cu  0.5000  0.6239  0.1560
Cu  0.5000  0.7975  0.9663
Cu  0.5000  0.1560  0.6239
Pd  0.5000  0.7407  0.5662
Pd  0.5000  0.4338  0.2593
Pd  0.5000  0.5662  0.7407
Pd  0.5000  0.2593  0.4338
Sc  0.0000  0.1767  0.8233
Sc  0.0000  0.0000  0.0000
Sc  0.0000  0.4105  0.0666
Sc  0.0000  0.8233  0.1767
Sc  0.0000  0.2422  0.2422
Sc  0.0000  0.5895  0.9334
Sc  0.0000  0.6387  0.3613
Sc  0.0000  0.0666  0.4105
Sc  0.0000  0.7578  0.7578
Sc  0.0000  0.3613  0.6387
Sc  0.0000  0.9334  0.5895

=====

No. 16
A relaxed LiPrThAg crystal, computed with PBE.

## Properties
- Energy relative to the elements: 0.08 eV/atom
- Crystal system: cubic
- Final energy: -4.158 eV per atom
- Space-group type: F-43m (216)

Lattice parameters (Å, degrees): 5.3206 5.3206 5.3206 60.00 60.00 60.00
Site moments in Bohr magnetons follow the coordinates.
Element x y z (fractional)
Th  0.0000  0.0000  0.0000  -0.27
Li  0.7500  0.7500  0.7500  -0.01
Ag  0.2500  0.2500  0.2500  -0.04
Pr  0.5000  0.5000  0.5000  -0.21

=====

No. 17
A relaxed LiAu2Se crystal, computed with PBE.

## Properties
- Crystal system: monoclinic
- Final energy: -3.297 eV per atom
- Space-group type: C2/m (12)
- Formation energy without anion corrections: -309 meV per atom
- Energy above the lowest structure with this stoichiometry: 2 kJ/mol of formula units

Lattice parameters (Å, degrees): 5.7781 5.7781 4.7117 87.79 87.79 28.52
Element x y z (fractional)
Se  0.7500  0.7500  0.7500
Au  0.9683  0.9683  0.0095
Au  0.5317  0.5317  0.4905
Li  0.2500  0.2500  0.2500

=====

No. 18
A relaxed NaTl2Sb crystal, computed with PBE.

## Properties
- Crystal system: orthorhombic
- Final energy: -2.676 eV per atom
- Space-group type: Cmcm (63)
- Formation energy without anion corrections: -133 meV per atom
- Energy above the lowest structure with this stoichiometry: 6 kJ/mol of formula units

Lattice parameters (Å, degrees): 5.5882 7.0858 6.8675 90.00 90.00 113.22
Element x y z (fractional)
Tl  0.6348  0.2696  0.4991
Tl  0.6348  0.2696  0.0009
Tl  0.3652  0.7304  0.9991
Tl  0.3652  0.7304  0.5009
Sb  0.1497  0.2994  0.2500
Sb  0.8503  0.7006  0.7500
Na  0.0937  0.1874  0.7500
Na  0.9063  0.8126  0.2500

=====

No. 19
A relaxed HoSc2Cu2Si2 crystal, computed with PBE.

## Properties
- Crystal system: trigonal
- Final energy: -5.703 eV per atom
- Space-group type: R-3m (166)
- Formation energy without anion corrections: -520 meV per atom

Lattice parameters (Å, degrees): 4.1525 4.1525 8.8354 76.41 76.41 60.00
Element x y z (fractional)
Si  0.7440  0.7440  0.7679
Si  0.2560  0.2560  0.2321
Ho  0.0000  0.0000  0.0000
Sc  0.8693  0.8693  0.3921
Sc  0.1307  0.1307  0.6079
Cu  0.4081  0.4081  0.7757
Cu  0.5919  0.5919  0.2243

=====

No. 20
A relaxed RbLiMg6O7 crystal, computed with PBE.

## Properties
- Crystal system: tetragonal
- Final energy: -5.161 eV per atom
- Space-group type: P4mm (99)
- Formation energy without anion corrections: -2017 meV per atom
- Energy above the lowest structure with this stoichiometry: 0 kJ/mol of formula units

Lattice parameters (Å, degrees): 4.1581 4.1581 11.9969 90.00 90.00 90.00
Site moments in Bohr magnetons follow the coordinates.
Element x y z (fractional)
O  0.5000  0.5000  0.6780  0.00
O  0.0000  0.5000  0.1095  0.32
O  0.0000  0.0000  0.6710  0.00
O  0.0000  0.5000  0.4868  0.01
O  0.5000  0.5000  0.3074  0.02
O  0.5000  0.0000  0.1095  0.32
O  0.5000  0.0000  0.4868  0.01
Mg  0.5000  0.5000  0.4751  0.00
Mg  0.0000  0.5000  0.6646  0.00
Mg  0.5000  0.0000  0.6646  0.00
Mg  0.5000  0.0000  0.2686  0.02
Mg  0.0000  0.0000  0.4943  0.01
Mg  0.0000  0.5000  0.2686  0.02
Li  0.0000  0.0000  0.0968  0.00
Rb  0.5000  0.5000  0.9684  0.00

=====

No. 21
A relaxed Ru2Pb crystal, computed with PBE.

## Properties
- Energy relative to the elements: 0.71 eV/atom
- Crystal system: tetragonal
- Final energy: -6.713 eV per atom
- Space-group type: I4_1/amd (141)
- Energy above the lowest structure with this stoichiometry: 86 kJ/mol of formula units

Lattice parameters (Å, degrees): 7.8816 7.8816 7.8816 150.23 150.23 42.60
Element x y z (fractional)
Pb  0.7500  0.2500  0.5000
Pb  0.0000  0.0000  0.0000
Ru  0.5814  0.5814  0.0000
Ru  0.3314  0.8314  0.5000
Ru  0.4186  0.4186  0.0000
Ru  0.1686  0.6686  0.5000

=====

No. 22
A relaxed TiHO2 crystal, computed with PBE.

## Properties
- Crystal system: trigonal
- Final energy: -5.436 eV per atom
- Space-group type: R-3m (166)

Lattice parameters (Å, degrees): 5.6154 5.6154 5.6154 29.89 29.89 29.89
Element x y z (fractional)
H  0.5000  0.5000  0.5000
O  0.1107  0.1107  0.1107
O  0.8893  0.8893  0.8893
Ti  0.0000  0.0000  0.0000

=====

No. 23
A relaxed Sc4TlBiN crystal, computed with PBE.

## Properties
- Crystal system: orthorhombic
- Final energy: -6.584 eV per atom
- Space-group type: Cmcm (63)
- Formation energy without anion corrections: -884 meV per atom

Lattice parameters (Å, degrees): 6.2644 6.2679 8.1732 90.00 112.53 90.00
Element x y z (fractional)
N  0.7520  0.2500  0.5040
N  0.2480  0.7500  0.4960
Sc  0.5000  0.0000  0.5000
Sc  0.0000  0.5000  0.5000
Sc  0.0000  0.0000  0.5000
Sc  0.0969  0.7500  0.1939
Sc  0.9031  0.2500  0.8061
Sc  0.6017  0.2500  0.2035
Sc  0.5000  0.5000  0.5000
Sc  0.3983  0.7500  0.7965
Bi  0.6014  0.7500  0.2029
Bi  0.3986  0.2500  0.7971
Tl  0.8952  0.7500  0.7905
Tl  0.1048  0.2500  0.2095